AcPm2Nd5Dy | GGA-PBE | optimized geometry

```
data_AcPm2Nd5Dy
_cell_length_a 9.055
_cell_length_b 9.055
_cell_length_c 15.848
_cell_angle_alpha 90.00
_cell_angle_beta 90.00
_cell_angle_gamma 90.00
_symmetry_space_group_name_H-M 'I 4/m c m'
_symmetry_Int_Tables_number 140
_symmetry_space_group_name_Hall '-I 4 2c'
loop_
_atom_site_label
_atom_site_type_symbol
_atom_site_fract_x
_atom_site_fract_y
_atom_site_fract_z
Ac1 Ac 0.000 0.000 0.250
Pm1 Pm 0.116 0.384 0.000
Nd1 Nd 0.000 0.000 0.000
Nd2 Nd 0.204 0.296 0.367
Dy1 Dy 0.000 0.500 0.250
```

Values from the calculation:
Electronic total energy ... -4.4160 eV per atom
ΔH_f (0 K) ... 256 meV per atom
Density of states at the Fermi level ... 1.31 states/eV/atom

Re2HgCl | GGA-PBE | optimized geometry

```
data_Re2HgCl
_cell_length_a 5.300
_cell_length_b 10.060
_cell_length_c 2.722
_cell_angle_alpha 90.00
_cell_angle_beta 90.00
_cell_angle_gamma 90.00
_symmetry_space_group_name_H-M 'C m m m'
_symmetry_Int_Tables_number 65
_symmetry_space_group_name_Hall '-C 2 2'
loop_
_atom_site_label
_atom_site_type_symbol
_atom_site_fract_x
_atom_site_fract_y
_atom_site_fract_z
Re1 Re 0.250 0.250 0.000
Hg1 Hg 0.000 0.000 0.500
Cl1 Cl 0.000 0.500 0.500
```

Values from the calculation:
Electronic total energy ... -5.2306 eV per atom
Density of states at the Fermi level ... 1.06 states/eV/atom

Tl2Re | GGA-PBE | optimized geometry

```
data_Tl2Re
_cell_length_a 3.0102
_cell_length_b 3.0102
_cell_length_c 8.9960
_cell_angle_alpha 90.00
_cell_angle_beta 90.00
_cell_angle_gamma 120.00
_symmetry_space_group_name_H-M 'P -3 m 1'
_symmetry_Int_Tables_number 164
_symmetry_space_group_name_Hall '-P 3 2"'
loop_
_atom_site_label
_atom_site_type_symbol
_atom_site_fract_x
_atom_site_fract_y
_atom_site_fract_z
Tl1 Tl 0.3333 0.6667 0.2892
Re1 Re 0.0000 0.0000 0.0000
```

Values from the calculation:
Electronic total energy ... -4.7611 eV per atom
ΔH_f (0 K) ... 966 meV per atom
Density of states at the Fermi level ... 0.79 states/eV/atom

ScZnPd3 | GGA-PBE | optimized geometry

```
data_ScZnPd3
_cell_length_a 4.601
_cell_length_b 4.601
_cell_length_c 4.601
_cell_angle_alpha 90.00
_cell_angle_beta 90.00
_cell_angle_gamma 90.00
_symmetry_space_group_name_H-M 'P m -3 m'
_symmetry_Int_Tables_number 221
_symmetry_space_group_name_Hall '-P 4 2 3'
loop_
_atom_site_label
_atom_site_type_symbol
_atom_site_fract_x
_atom_site_fract_y
_atom_site_fract_z
Sc1 Sc 0.000 0.000 0.000
Zn1 Zn 0.500 0.500 0.500
Pd1 Pd 0.000 0.500 0.500
```

Values from the calculation:
Electronic total energy ... -4.6843 eV per atom
ΔH_f (0 K) ... -47 meV per atom
Density of states at the Fermi level ... 0.93 states/eV/atom

Li2NiOs | GGA-PBE | optimized geometry

```
data_Li2NiOs
_cell_length_a 3.477
_cell_length_b 3.477
_cell_length_c 8.514
_cell_angle_alpha 90.00
_cell_angle_beta 90.00
_cell_angle_gamma 90.00
_symmetry_space_group_name_H-M 'I 4/m m m'
_symmetry_Int_Tables_number 139
_symmetry_space_group_name_Hall '-I 4 2'
loop_
_atom_site_label
_atom_site_type_symbol
_atom_site_fract_x
_atom_site_fract_y
_atom_site_fract_z
Li1 Li 0.000 0.500 0.250
Ni1 Ni 0.000 0.000 0.000
Os1 Os 0.000 0.000 0.500
```

Values from the calculation:
Electronic total energy ... -4.8750 eV per atom
ΔH_f (0 K) ... 335 meV per atom
Density of states at the Fermi level ... 0.79 states/eV/atom

CoAsOs2 | GGA-PBE | optimized geometry

```
data_CoAsOs2
_cell_length_a 2.8156
_cell_length_b 2.8156
_cell_length_c 24.4224
_cell_angle_alpha 90.00
_cell_angle_beta 90.00
_cell_angle_gamma 120.00
_symmetry_space_group_name_H-M 'R -3 m'
_symmetry_Int_Tables_number 166
_symmetry_space_group_name_Hall '-R 3 2"'
loop_
_atom_site_label
_atom_site_type_symbol
_atom_site_fract_x
_atom_site_fract_y
_atom_site_fract_z
Co1 Co 0.0000 0.0000 0.0000
As1 As 0.0000 0.0000 0.5000
Os1 Os 0.0000 0.0000 0.2505
```

Values from the calculation:
Electronic total energy ... -8.1014 eV per atom
ΔH_f (0 K) ... 452 meV per atom
Density of states at the Fermi level ... 1.21 states/eV/atom

TbEr5Th5 | GGA-PBE | optimized geometry

```
data_TbEr5Th5
_cell_length_a 6.2853
_cell_length_b 6.2853
_cell_length_c 11.1237
_cell_angle_alpha 90.00
_cell_angle_beta 90.00
_cell_angle_gamma 120.00
_symmetry_space_group_name_H-M 'P -6 m 2'
_symmetry_Int_Tables_number 187
_symmetry_space_group_name_Hall 'P -6 2'
loop_
_atom_site_label
_atom_site_type_symbol
_atom_site_fract_x
_atom_site_fract_y
_atom_site_fract_z
Tb1 Tb 0.0000 0.0000 0.0000
Er1 Er 0.0000 0.0000 0.3285
Er2 Er 0.3333 0.6667 0.1815
Er3 Er 0.6667 0.3333 0.0000
Th1 Th 0.0132 0.5066 0.5000
Th2 Th 0.6667 0.3333 0.2685
```

Values from the calculation:
Electronic total energy ... -5.4814 eV per atom
ΔH_f (0 K) ... 386 meV per atom
Density of states at the Fermi level ... 1.61 states/eV/atom

Na2P2Os | GGA-PBE | optimized geometry

```
data_Na2P2Os
_cell_length_a 6.022
_cell_length_b 6.022
_cell_length_c 4.872
_cell_angle_alpha 90.00
_cell_angle_beta 90.00
_cell_angle_gamma 90.00
_symmetry_space_group_name_H-M 'P 4/m b m'
_symmetry_Int_Tables_number 127
_symmetry_space_group_name_Hall '-P 4 2ab'
loop_
_atom_site_label
_atom_site_type_symbol
_atom_site_fract_x
_atom_site_fract_y
_atom_site_fract_z
Na1 Na 0.185 0.315 0.000
P1 P 0.135 0.635 0.500
Os1 Os 0.000 0.000 0.500
```

Values from the calculation:
Electronic total energy ... -5.2920 eV per atom
ΔH_f (0 K) ... -354 meV per atom
Density of states at the Fermi level ... 0.00 states/eV/atom

NbSiRu2 | GGA-PBE | optimized geometry

```
data_NbSiRu2
_cell_length_a 2.813
_cell_length_b 4.319
_cell_length_c 10.413
_cell_angle_alpha 90.00
_cell_angle_beta 90.00
_cell_angle_gamma 90.00
_symmetry_space_group_name_H-M 'I m m m'
_symmetry_Int_Tables_number 71
_symmetry_space_group_name_Hall '-I 2 2'
loop_
_atom_site_label
_atom_site_type_symbol
_atom_site_fract_x
_atom_site_fract_y
_atom_site_fract_z
Nb1 Nb 0.000 0.000 0.000
Si1 Si 0.000 0.000 0.500
Ru1 Ru 0.000 0.000 0.287
```

Values from the calculation:
Electronic total energy ... -8.3010 eV per atom
Density of states at the Fermi level ... 1.21 states/eV/atom

LaAl2Zn | GGA-PBE | optimized geometry

```
data_LaAl2Zn
_cell_length_a 3.1861
_cell_length_b 3.1861
_cell_length_c 29.3300
_cell_angle_alpha 90.00
_cell_angle_beta 90.00
_cell_angle_gamma 120.00
_symmetry_space_group_name_H-M 'R -3 m'
_symmetry_Int_Tables_number 166
_symmetry_space_group_name_Hall '-R 3 2"'
loop_
_atom_site_label
_atom_site_type_symbol
_atom_site_fract_x
_atom_site_fract_y
_atom_site_fract_z
La1 La 0.0000 0.0000 0.0000
Al1 Al 0.0000 0.0000 0.2371
Zn1 Zn 0.0000 0.0000 0.5000
```

Values from the calculation:
Electronic total energy ... -3.3469 eV per atom
ΔH_f (0 K) ... 75 meV per atom
Density of states at the Fermi level ... 0.68 states/eV/atom

Y2Er2Sb2C | GGA-PBE | optimized geometry

```
data_Y2Er2Sb2C
_cell_length_a 4.741
_cell_length_b 4.741
_cell_length_c 15.773
_cell_angle_alpha 90.00
_cell_angle_beta 90.00
_cell_angle_gamma 90.00
_symmetry_space_group_name_H-M 'I 4/m m m'
_symmetry_Int_Tables_number 139
_symmetry_space_group_name_Hall '-I 4 2'
loop_
_atom_site_label
_atom_site_type_symbol
_atom_site_fract_x
_atom_site_fract_y
_atom_site_fract_z
Y1 Y 0.000 0.000 0.159
Er1 Er 0.000 0.500 0.000
Sb1 Sb 0.000 0.000 0.359
C1 C 0.000 0.000 0.000
```

Values from the calculation:
Electronic total energy ... -6.4636 eV per atom
Density of states at the Fermi level ... 0.94 states/eV/atom

ZrTiAs | GGA-PBE | optimized geometry

```
data_ZrTiAs
_cell_length_a 3.791
_cell_length_b 3.825
_cell_length_c 7.505
_cell_angle_alpha 90.00
_cell_angle_beta 90.00
_cell_angle_gamma 90.00
_symmetry_space_group_name_H-M 'P m m 2'
_symmetry_Int_Tables_number 25
loop_
_symmetry_equiv_pos_as_xyz
'x,y,z'
'-x,-y,z'
'-x,y,z'
'x,-y,z'
loop_
_atom_site_label
_atom_site_type_symbol
_atom_site_fract_x
_atom_site_fract_y
_atom_site_fract_z
Zr1 Zr 0.000 0.000 0.000
Zr2 Zr 0.000 0.500 0.371
Ti1 Ti 0.500 0.000 0.641
Ti2 Ti 0.500 0.500 0.001
As1 As 0.000 0.500 0.733
As2 As 0.500 0.000 0.275
```

Values from the calculation:
Electronic total energy ... -7.8440 eV per atom
ΔH_f (0 K) ... -813 meV per atom
Density of states at the Fermi level ... 0.81 states/eV/atom